# BiPbC3

A geometry-optimized BiPbC3 structure (PBE, Alexandria).

Cell lengths 4.498, 4.498, 4.498 Å; angles 90.00, 90.00, 90.00 degrees
Each line ends with the local moment (μB).
Fractional coordinates of all 5 atoms:
Pb (0.000, 0.000, 0.000)  0.00
C (0.000, 0.500, 0.000)  0.39
C (0.000, 0.000, 0.500)  0.33
C (0.500, 0.000, 0.000)  0.31
Bi (0.500, 0.500, 0.500)  -0.18

calculated formation energy: 3063 meV per atom
calculated volume: 91 Å³ per cell
size of the total moment: 1.790 μB/f.u.
total energy: -3.9887 eV/atom
symmetry: Pm-3m
Fermi-level density of states: 0.549 states/eV/atom